A relaxed AgPd2PtO crystal. Source: Alexandria via LeMat-Bulk, functional GGA-PBE.

Fermi-level density of states: 8.23 states/eV/f.u.
Total DFT energy (no corrections): -19.008 eV per formula unit
Crystal system: tetragonal
Energy relative to the elements, uncorrected: 1.0456 eV/atom

a = 4.994 Å, b = 4.994 Å, c = 3.723 Å
α = 90.00°, β = 90.00°, γ = 90.00°
Space group P4/mmm (No. 123)
Unique sites:
Ag 0.000 0.000 0.000
Pd 0.000 0.500 0.000
Pt 0.500 0.500 0.500
O 0.000 0.000 0.500



A relaxed Ce2ZnGa6Pd crystal. Source: Alexandria via LeMat-Bulk, functional GGA-PBE.

Fermi-level density of states: 13.93 states/eV/f.u.
Calculated formation energy: -0.40 eV/atom
Total DFT energy (no corrections): -40.469 eV per formula unit
Crystal system: trigonal

a = 6.3617 Å, b = 6.3617 Å, c = 35.0674 Å
α = 90.00°, β = 90.00°, γ = 120.00°
Space group R-3m (No. 166, hexagonal axes)
Unique sites:
Ce 0.0000 0.0000 0.1103
Ce 0.0000 0.0000 0.2850
Zn 0.0000 0.0000 0.4271
Ga 0.0538 0.5269 0.2981
Ga 0.0691 0.5346 0.8673
Pd 0.0000 0.0000 0.0000
Pd 0.0000 0.0000 0.5000



A relaxed CeNd4Dy6 crystal. Source: Alexandria via LeMat-Bulk, functional GGA-PBE.

Fermi-level density of states: 15.56 states/eV/f.u.
Calculated formation energy: 0.31 eV/atom
Total DFT energy (no corrections): -49.207 eV per formula unit
Crystal system: tetragonal

a = 6.669 Å, b = 6.669 Å, c = 16.952 Å
α = 90.00°, β = 90.00°, γ = 90.00°
Space group I-42m (No. 121)
Unique sites:
Ce 0.000 0.000 0.000
Nd 0.190 0.190 0.826
Dy 0.000 0.500 0.000
Dy 0.182 0.182 0.625



A relaxed Li2DyTh2Sn2 crystal. Source: Alexandria via LeMat-Bulk, functional GGA-PBE.

Fermi-level density of states: 5.86 states/eV/f.u.
Calculated formation energy: -0.28 eV/atom
Total DFT energy (no corrections): -33.235 eV per formula unit
Crystal system: trigonal

a = 4.8030 Å, b = 4.8030 Å, c = 27.1832 Å
α = 90.00°, β = 90.00°, γ = 120.00°
Space group R-3m (No. 166, hexagonal axes)
Unique sites:
Li 0.0000 0.0000 0.1025
Dy 0.0000 0.0000 0.5000
Th 0.0000 0.0000 0.3702
Sn 0.0000 0.0000 0.2323